# Na2VRhO4 (PBE+U, optimized geometry)
data_Na2VRhO4
_cell_length_a 5.158
_cell_length_b 5.158
_cell_length_c 5.158
_cell_angle_alpha 110.58
_cell_angle_beta 110.58
_cell_angle_gamma 107.28
_symmetry_space_group_name_H-M 'P 1'
_symmetry_Int_Tables_number 1
_symmetry_space_group_name_Hall 'P 1'
loop_
_atom_site_label
_atom_site_type_symbol
_atom_site_fract_x
_atom_site_fract_y
_atom_site_fract_z
_atom_site_occupancy
Na1 Na 0.000 0.000 0.000 1
Na2 Na 0.750 0.250 0.500 1
V1 V 0.500 0.500 0.000 1
Rh1 Rh 0.250 0.750 0.500 1
O1 O 0.170 0.130 0.668 1
O2 O 0.463 0.502 0.332 1
O3 O 0.498 0.830 0.961 1
O4 O 0.870 0.537 0.039 1
# - uncorrected energy (eV per atom) = -6.07
# - spin magnetization (μB/cell) = 0.012